Record 1
## Mg2BC (GGA-PBE)

Data for crystalline Mg2BC at its relaxed geometry.

Cell: 7.3883 3.4537 10.7510 Å, 90.00 132.81 90.00°
With the nearest neighbours (Å) after each atom.
Sites, in units of the cell vectors:
B: 0.2228 0.0000 0.0684  1 C 1.54, 1 B 1.66
B: 0.3499 0.0000 0.2684  1 B 1.66
Mg: 0.5685 0.5000 0.5141  2 C 2.39, 2 B 2.60
Mg: 0.1180 0.0000 0.3520  4 C 2.29-2.33, 3 B 2.41-2.56
Mg: 0.5443 0.0000 0.7374  2 C 2.27-2.29, 4 B 2.41-2.46
C: 0.8284 0.5000 0.2155  1 C 1.42
C: 0.8284 0.0000 0.7155  1 C 1.42
Mg: 0.1180 0.5000 0.8520  4 C 2.29-2.33, 3 B 2.41-2.56
Mg: 0.9943 0.0000 0.5800  3 C 2.46-2.54, 4 B 2.48-2.60
C: 0.9586 0.0000 0.8913  1 C 1.42, 1 B 1.54
Mg: 0.9943 0.5000 0.0800  3 C 2.46-2.54, 4 B 2.48-2.60
B: 0.2228 0.5000 0.5684  1 C 1.54, 1 B 1.66
Mg: 0.5685 0.0000 0.0141  2 C 2.39, 2 B 2.60
C: 0.9586 0.5000 0.3913  1 C 1.42, 1 B 1.54
B: 0.3499 0.5000 0.7684  1 B 1.66
Mg: 0.5443 0.5000 0.2374  2 C 2.27-2.29, 4 B 2.41-2.46

energy above the lowest structure with this stoichiometry	175.8	meV/atom
crystal system	monoclinic
energy of formation	260	meV/atom
SG	Cm


Record 2
## PmNd12In4N3 (GGA-PBE)

Data for crystalline PmNd12In4N3 at its relaxed geometry.

Cell: 8.9096 8.9096 8.9096 Å, 109.47 109.47 109.47°
With the nearest neighbours (Å) after each atom.
Sites, in units of the cell vectors:
Nd: 0.5000 0.2500 0.7500  2 N 2.57
In: 0.0000 0.5000 0.0000  12 Nd 3.64-3.65
Nd: 0.7500 0.5000 0.2500  2 N 2.57
Nd: 0.2746 0.0000 0.2746  1 N 2.32
In: 0.5000 0.0000 0.0000  12 Nd 3.64-3.65
Nd: 0.2500 0.7500 0.5000  2 N 2.57
Nd: 0.7254 0.0000 0.7254  1 N 2.32
Nd: 0.0000 0.2746 0.2746  1 N 2.32
N: 0.0000 0.5000 0.5000  6 Nd 2.32-2.57
N: 0.5000 0.5000 0.0000  6 Nd 2.32-2.57
Nd: 0.2500 0.5000 0.7500  2 N 2.57
Pm: 0.0000 0.0000 0.0000  6 Nd 2.83
Nd: 0.7254 0.7254 0.0000  1 N 2.32
Nd: 0.5000 0.7500 0.2500  2 N 2.57
In: 0.5000 0.5000 0.5000  12 Nd 3.64-3.65
Nd: 0.7500 0.2500 0.5000  2 N 2.57
Nd: 0.2746 0.2746 0.0000  1 N 2.32
N: 0.5000 0.0000 0.5000  6 Nd 2.32-2.57
Nd: 0.0000 0.7254 0.7254  1 N 2.32
In: 0.0000 0.0000 0.5000  12 Nd 3.64-3.65

crystal system	cubic
energy relative to the elements, uncorrected	-0.454	eV/atom
SG	Im-3m


Record 3
## Sb3Pd6Se (GGA-PBE)

Data for crystalline Sb3Pd6Se at its relaxed geometry.

Cell: 6.2271 8.5377 8.5377 Å, 117.37 90.00 90.00°
With the nearest neighbours (Å) after each atom.
Sites, in units of the cell vectors:
Se: 0.5037 0.8212 0.1788  3 Pd 2.45-2.60
Pd: 0.7060 0.3602 0.3232  4 Sb 2.61-2.72, 1 Pd 2.81
Pd: 0.7358 0.5413 0.0994  1 Se 2.60, 3 Sb 2.69-2.81
Sb: 0.9101 0.0862 0.3072  7 Pd 2.61-2.90
Pd: 0.2358 0.0994 0.5413  1 Se 2.60, 3 Sb 2.69-2.81
Sb: 0.4969 0.3865 0.6135  7 Pd 2.62-2.76
Pd: 0.2060 0.3232 0.3602  4 Sb 2.61-2.72, 1 Pd 2.81
Sb: 0.9101 0.6928 0.9138  7 Pd 2.61-2.90
Sb: 0.4101 0.3072 0.0862  7 Pd 2.61-2.90
Pd: 0.1198 0.7851 0.2149  1 Se 2.45, 3 Sb 2.62-2.66
Pd: 0.6198 0.2149 0.7851  1 Se 2.45, 3 Sb 2.62-2.66
Se: 0.0037 0.1788 0.8212  3 Pd 2.45-2.60
Pd: 0.2060 0.6398 0.6768  4 Sb 2.61-2.72, 1 Pd 2.81
Pd: 0.7060 0.6768 0.6398  4 Sb 2.61-2.72, 1 Pd 2.81
Pd: 0.7358 0.9006 0.4587  1 Se 2.60, 3 Sb 2.69-2.81
Pd: 0.2358 0.4587 0.9006  1 Se 2.60, 3 Sb 2.69-2.81
Pd: 0.6614 0.0081 0.9919  4 Sb 2.78-2.90, 1 Se 2.90, 3 Pd 3.03-3.05
Pd: 0.1614 0.9919 0.0081  4 Sb 2.78-2.90, 1 Se 2.90, 3 Pd 3.03-3.05
Sb: 0.4101 0.9138 0.6928  7 Pd 2.61-2.90
Sb: 0.9969 0.6135 0.3865  7 Pd 2.62-2.76

crystal system	orthorhombic
energy relative to the elements, uncorrected	-0.295	eV/atom
SG	Cmc2_1


Record 4
## CeSmCo4 (GGA-PBE)

Data for crystalline CeSmCo4 at its relaxed geometry.

Cell: 5.0402 5.0402 5.0402 Å, 60.00 60.00 60.00°
With the nearest neighbours (Å) after each atom.
Sites, in units of the cell vectors:
Co: 0.6252 0.6252 0.6252  6 Co 2.52
Co: 0.1245 0.6252 0.6252  6 Co 2.52
Ce: 0.0000 0.0000 0.0000  12 Co 2.95, 4 Sm 3.09
Sm: 0.2500 0.2500 0.2500  12 Co 2.96, 4 Ce 3.09
Co: 0.6252 0.6252 0.1245  6 Co 2.52
Co: 0.6252 0.1245 0.6252  6 Co 2.52

crystal system	cubic
energy of formation	-146	meV/atom
SG	F-43m


Record 5
## BaPm2Cd6 (GGA-PBE)

Data for crystalline BaPm2Cd6 at its relaxed geometry.

Cell: 3.5645 8.9383 8.9383 Å, 120.00 90.00 90.00°
With the nearest neighbours (Å) after each atom.
Sites, in units of the cell vectors:
Cd: 0.5000 0.3402 0.3402  3 Cd 2.86-3.04
Cd: 0.5000 0.3402 0.0000  3 Cd 2.86-3.04
Ba: 0.0000 0.0000 0.0000  12 Cd 3.52, 2 Ba 3.56
Cd: 0.5000 0.6598 0.0000  3 Cd 2.86-3.04
Cd: 0.5000 0.0000 0.3402  3 Cd 2.86-3.04
Pm: 0.0000 0.3333 0.6667  12 Cd 3.45, 2 Pm 3.56
Pm: 0.0000 0.6667 0.3333  12 Cd 3.45, 2 Pm 3.56
Cd: 0.5000 0.0000 0.6598  3 Cd 2.86-3.04
Cd: 0.5000 0.6598 0.6598  3 Cd 2.86-3.04

crystal system	hexagonal
energy of formation	-301	meV/atom
SG	P6/mmm


Record 6
## Ho4BiPbN (GGA-PBE)

Data for crystalline Ho4BiPbN at its relaxed geometry.

Cell: 6.6814 6.6785 8.6708 Å, 90.00 112.66 90.00°
With the nearest neighbours (Å) after each atom.
Sites, in units of the cell vectors:
N: 0.7511 0.2500 0.5021  6 Ho 2.36-2.47
Ho: 0.4035 0.7500 0.8071  1 N 2.47
Ho: 0.0000 0.5000 0.5000  2 N 2.36
Ho: 0.5965 0.2500 0.1929  1 N 2.47
Bi: 0.3957 0.2500 0.7913  9 Ho 3.21-3.34
Pb: 0.1044 0.2500 0.2089  9 Ho 3.18-3.34
Pb: 0.8956 0.7500 0.7911  9 Ho 3.18-3.34
N: 0.2489 0.7500 0.4979  6 Ho 2.36-2.47
Ho: 0.5000 0.0000 0.5000  2 N 2.36
Ho: 0.0946 0.7500 0.1892  1 N 2.47
Bi: 0.6043 0.7500 0.2087  9 Ho 3.21-3.34
Ho: 0.0000 0.0000 0.5000  2 N 2.36
Ho: 0.9054 0.2500 0.8108  1 N 2.47
Ho: 0.5000 0.5000 0.5000  2 N 2.36

crystal system	orthorhombic
energy relative to the elements, uncorrected	-0.882	eV/atom
SG	Cmcm


Record 7
## Ho6Si2Te3P (GGA-PBE)

Data for crystalline Ho6Si2Te3P at its relaxed geometry.

Cell: 4.1705 8.5272 9.4832 Å, 104.61 102.70 90.00°
With the nearest neighbours (Å) after each atom.
Sites, in units of the cell vectors:
Ho: 0.3266 0.4353 0.6532  3 Si 2.86-2.87, 3 Te 3.11-3.13
P: 0.5000 0.0000 0.0000  6 Ho 2.84
Ho: 0.9919 0.7705 0.9838  1 Si 2.83, 2 P 2.84, 3 Te 3.12-3.14
Si: 0.1661 0.3314 0.3322  6 Ho 2.83-2.87
Te: 0.5000 0.5000 0.0000  6 Ho 3.11-3.14
Te: 0.8341 0.1662 0.6682  6 Ho 3.12-3.15
Ho: 0.0081 0.2295 0.0162  1 Si 2.83, 2 P 2.84, 3 Te 3.12-3.14
Ho: 0.6587 0.1010 0.3174  1 P 2.84, 2 Si 2.84, 3 Te 3.12-3.15
Te: 0.1659 0.8338 0.3318  6 Ho 3.12-3.15
Si: 0.8339 0.6686 0.6678  6 Ho 2.83-2.87
Ho: 0.6734 0.5647 0.3468  3 Si 2.86-2.87, 3 Te 3.11-3.13
Ho: 0.3413 0.8990 0.6826  1 P 2.84, 2 Si 2.84, 3 Te 3.12-3.15

crystal system	monoclinic
energy relative to the elements, uncorrected	-1.247	eV/atom
SG	C2/m


Record 8
## Bi3H2Pd7 (GGA-PBE)

Data for crystalline Bi3H2Pd7 at its relaxed geometry.

Cell: 3.8676 4.4534 11.3369 Å, 101.33 90.00 90.00°
With the nearest neighbours (Å) after each atom.
Sites, in units of the cell vectors:
Pd: 0.5000 0.9007 0.8014  2 H 1.95
Bi: 0.5000 0.5000 0.0000  12 Pd 2.88-3.14
Bi: 0.5000 0.6931 0.3862  10 Pd 2.90-3.10
H: 0.0000 0.9125 0.8250  3 Pd 1.95
Pd: 0.5000 0.0993 0.1986  2 H 1.95
Pd: 0.0000 0.1977 0.3954  1 H 2.45
Bi: 0.5000 0.3069 0.6138  10 Pd 2.90-3.10
Pd: 0.0000 0.8023 0.6046  1 H 2.45
Pd: 0.0000 0.0000 0.0000  2 H 1.95
H: 0.0000 0.0875 0.1750  3 Pd 1.95
Pd: 0.0000 0.4042 0.8084  2 H 2.23
Pd: 0.0000 0.5958 0.1916  2 H 2.23

energy above the lowest structure with this stoichiometry	4.9	meV/atom
crystal system	orthorhombic
SG	Cmmm


Record 9
## LuThPdAu (GGA-PBE)

Data for crystalline LuThPdAu at its relaxed geometry.

Cell: 5.0924 5.0924 5.0924 Å, 60.00 60.00 60.00°
With the nearest neighbours (Å) after each atom.
Sites, in units of the cell vectors:
Lu: 0.2500 0.2500 0.2500  4 Pd 3.12, 4 Au 3.12
Th: 0.7500 0.7500 0.7500  4 Pd 3.12, 4 Au 3.12
Pd: 0.5000 0.5000 0.5000  4 Th 3.12, 4 Lu 3.12
Au: 0.0000 0.0000 0.0000  4 Th 3.12, 4 Lu 3.12

crystal system	cubic
energy of formation	-729	meV/atom
SG	F-43m


Record 10
## AgAs2Pt (GGA-PBE)

Data for crystalline AgAs2Pt at its relaxed geometry.

Cell: 3.3220 2.8482 7.9750 Å, 90.07 90.00 90.00°
With the nearest neighbours (Å) after each atom.
Sites, in units of the cell vectors:
Ag: 0.5000 0.7500 0.7500  2 Ag 2.85, 8 As 3.02
As: 0.0000 0.2491 0.4884  2 Pt 2.52
As: 0.0000 0.2509 0.0116  2 Pt 2.52
Pt: 0.5000 0.2500 0.2500  4 As 2.52

energy above the lowest structure with this stoichiometry	81.0	meV/atom
crystal system	monoclinic
energy of formation	23	meV/atom
SG	P2/m


Record 11
## YZrTc2 (GGA-PBE)

Data for crystalline YZrTc2 at its relaxed geometry.

Cell: 5.3637 5.3637 5.3637 Å, 143.24 123.16 69.63°
With the nearest neighbours (Å) after each atom.
Sites, in units of the cell vectors:
Zr: 0.7500 0.2500 0.5000  4 Tc 2.73
Y: 0.2500 0.7500 0.5000  4 Tc 2.82, 4 Zr 3.06
Tc: 0.9931 0.9931 0.0000  2 Zr 2.73, 2 Y 2.82
Tc: 0.5069 0.5069 0.0000  2 Zr 2.73, 2 Y 2.82

crystal system	orthorhombic
energy of formation	147	meV/atom
SG	Immm


Computed values of magnetic moment (unit: μB per formula unit) for the preceding records, in sequence: 0.000 0.000 0.000 0.005 0.000 0.000 0.000 0.000 0.000 0.000 0.000.
Computed values of mass density (unit: g/cm³) for the preceding records, in sequence: 2.357 7.250 8.921 9.651 7.418 10.138 7.626 11.916 12.633 9.964 8.213.